This record from Alexandria describes TcSCl2 after structural relaxation. The functional is GGA-PBEsol.

```
TcSCl2
1.0
-0.402 1.698 -2.182
-2.421 1.365 -0.280
3.197 9.564 5.065
S Tc Cl
1 1 2
Direct
0.500 0.500 0.500
0.000 0.000 0.000
0.934 0.934 0.198
0.066 0.066 0.802
```

Calculated values
The calculation puts the density of states at the Fermi level at 0.6766 states/eV per atom. Its symmetry is No. 166. The value obtained for the electronic total energy is -18.25 eV for the cell shown.

This record from Alexandria describes La21Fe8Sn7C12 after structural relaxation. The functional is GGA-PBEsol.

```
La21Fe8Sn7C12
1.0
-1.483 -6.015 9.675
-0.106 -11.484 -0.335
8.753 -5.958 4.459
La Fe Sn C
21 8 7 12
Direct
0.635 0.635 0.635
0.904 0.365 0.365
0.096 0.635 0.635
0.000 0.662 0.338
0.662 0.000 0.338
0.662 0.000 0.000
0.000 0.338 0.000
0.365 0.365 0.904
0.635 0.096 0.635
0.000 0.000 0.338
0.000 0.662 0.000
0.000 0.000 0.662
0.338 0.662 0.000
0.635 0.635 0.096
0.662 0.338 0.000
0.338 0.000 0.000
0.500 0.500 0.500
0.000 0.338 0.662
0.365 0.365 0.365
0.338 0.000 0.662
0.365 0.904 0.365
0.197 0.197 0.197
0.803 0.803 0.803
0.590 0.803 0.803
0.803 0.803 0.590
0.197 0.410 0.197
0.197 0.197 0.410
0.410 0.197 0.197
0.803 0.590 0.803
0.710 0.290 0.710
0.290 0.710 0.710
0.290 0.710 0.290
0.710 0.290 0.290
0.000 0.000 0.000
0.710 0.710 0.290
0.290 0.290 0.710
0.890 0.610 0.610
0.390 0.110 0.110
0.890 0.610 0.890
0.390 0.390 0.110
0.610 0.610 0.890
0.110 0.390 0.110
0.390 0.110 0.390
0.890 0.890 0.610
0.610 0.890 0.610
0.610 0.890 0.890
0.110 0.110 0.390
0.110 0.390 0.390
```

Calculated values
The formation energy comes out at -0.482 eV/atom. The calculation puts the density of states at the Fermi level at 0.6437 states/eV per atom. Its symmetry is No. 225.

This record from Alexandria describes YSeBr2 after structural relaxation. The functional is GGA-PBEsol.

```
YSeBr2
1.0
3.643 0.000 0.000
1.822 3.155 0.000
1.822 1.052 10.316
Y Se Br
1 1 2
Direct
0.000 0.000 0.000
0.500 0.500 0.500
0.916 0.916 0.253
0.084 0.084 0.747
```

Calculated values
The calculation puts the density of states at the Fermi level at 0.7687 states/eV per atom. Its symmetry is No. 166. The value obtained for the electronic total energy is -14.78 eV for the cell shown.

This record from Alexandria describes Na2CuP4O12 after structural relaxation. The functional is GGA-PBEsol.

```
Na2CuP4O12
1.0
7.814 0.006 0.009
-0.417 8.153 0.014
-0.417 -2.761 7.671
Na Cu P O
4 2 8 24
Direct
0.306 0.470 0.183
0.694 0.530 0.817
0.806 0.183 0.470
0.194 0.817 0.530
0.750 0.862 0.138
0.250 0.138 0.862
0.178 0.066 0.213
0.322 0.787 0.934
0.678 0.213 0.066
0.877 0.552 0.240
0.377 0.240 0.552
0.623 0.760 0.448
0.822 0.934 0.787
0.123 0.448 0.760
0.838 0.838 0.916
0.250 0.878 0.122
0.027 0.044 0.309
0.750 0.603 0.397
0.186 0.373 0.897
0.473 0.691 0.956
0.338 0.916 0.838
0.662 0.084 0.162
0.341 0.165 0.345
0.314 0.103 0.627
0.558 0.312 0.589
0.814 0.627 0.103
0.942 0.411 0.688
0.058 0.589 0.312
0.750 0.122 0.878
0.841 0.345 0.165
0.659 0.835 0.655
0.973 0.956 0.691
0.686 0.897 0.373
0.159 0.655 0.835
0.442 0.688 0.411
0.162 0.162 0.084
0.250 0.397 0.603
0.527 0.309 0.044
```

Calculated values
Its symmetry is No. 15. The value obtained for the electronic total energy is -263.55 eV for the cell shown.

This record from Alexandria describes LaSc2Au2 after structural relaxation. The functional is GGA-PBEsol.

```
LaSc2Au2
1.0
-2.078 -4.247 1.629
3.518 -2.636 -2.384
2.156 3.596 4.451
Sc Au La
2 2 1
Direct
0.347 0.347 0.695
0.653 0.653 0.305
0.250 0.750 0.500
0.750 0.250 0.500
0.000 0.000 0.000
```

Calculated values
The formation energy comes out at -0.400 eV/atom. The calculation puts the density of states at the Fermi level at 1.3080 states/eV per atom. Its symmetry is No. 139.

This record from Alexandria describes BaYW2 after structural relaxation. The functional is GGA-PBEsol.

```
BaYW2
1.0
-2.002 1.767 -1.513
0.605 -2.634 -1.455
-8.148 -4.759 5.226
Ba W Y
1 2 1
Direct
0.500 0.500 0.216
0.000 0.000 0.952
0.500 0.500 0.779
0.000 0.000 0.553
```

Calculated values
The formation energy comes out at 0.816 eV/atom. The calculation puts the density of states at the Fermi level at 1.1511 states/eV per atom. Its symmetry is No. 35.

This record from Alexandria describes TlAu after structural relaxation. The functional is GGA-PBEsol.

```
TlAu
1.0
-0.712 -3.335 1.677
3.795 1.415 4.426
-6.013 3.445 -0.010
Tl Au
3 3
Direct
0.320 0.707 0.639
0.981 0.370 0.961
0.265 0.153 0.530
0.006 0.896 0.011
0.632 0.286 0.264
0.631 0.755 0.262
```

Calculated values
The formation energy comes out at 0.055 eV/atom. The calculation puts the density of states at the Fermi level at 0.3412 states/eV per atom. Its symmetry is No. 8.

This record from Alexandria describes KNaNi3 after structural relaxation. The functional is GGA-PBEsol.

```
KNaNi3
1.0
4.672 0.000 0.000
0.000 4.672 0.000
0.000 0.000 4.672
Ni K Na
3 1 1
Direct
0.000 0.500 0.000
0.000 0.000 0.500
0.500 0.000 0.000
0.500 0.500 0.500
0.000 0.000 0.000
```

Calculated values
The formation energy comes out at 1.619 eV/atom. The calculation puts the density of states at the Fermi level at 2.0619 states/eV per atom. Its symmetry is No. 221.

This record from Alexandria describes Mg2NbMoS after structural relaxation. The functional is GGA-PBEsol.

```
Mg2NbMoS
1.0
-3.948 1.939 1.108
-2.535 -4.483 -1.185
0.588 -1.650 4.985
S Mo Mg Nb
1 1 2 1
Direct
0.500 0.500 0.500
0.500 0.000 0.000
0.000 0.000 0.500
0.000 0.500 0.000
0.000 0.000 0.000
```

Calculated values
The calculation puts the density of states at the Fermi level at 0.8680 states/eV per atom. Its symmetry is No. 123. The value obtained for the electronic total energy is -23.30 eV for the cell shown.

This record from Alexandria describes LiTiBi2As after structural relaxation. The functional is GGA-PBEsol.

```
LiTiBi2As
1.0
4.411 0.000 0.000
0.000 5.106 0.000
0.000 0.000 5.106
As Li Bi Ti
1 1 2 1
Direct
0.500 0.000 0.000
0.000 0.000 0.000
0.000 0.000 0.500
0.000 0.500 0.000
0.500 0.500 0.500
```

Calculated values
The formation energy comes out at 0.456 eV/atom. The calculation puts the density of states at the Fermi level at 1.3050 states/eV per atom. Its symmetry is No. 123.

This record from Alexandria describes LiHf2Ag after structural relaxation. The functional is GGA-PBEsol.

```
LiHf2Ag
1.0
4.706 0.000 0.000
2.353 4.076 0.000
2.353 1.359 3.842
Hf Ag Li
2 1 1
Direct
0.250 0.250 0.250
0.750 0.750 0.750
0.500 0.500 0.500
0.000 0.000 0.000
```

Calculated values
The formation energy comes out at 0.255 eV/atom. The calculation puts the density of states at the Fermi level at 1.6348 states/eV per atom. Its symmetry is No. 225.

This record from Alexandria describes BaSb2Os after structural relaxation. The functional is GGA-PBEsol.

```
BaSb2Os
1.0
5.111 0.000 0.000
2.555 4.426 0.000
2.555 1.475 4.173
Ba Os Sb
1 1 2
Direct
0.500 0.500 0.500
0.000 0.000 0.000
0.250 0.250 0.250
0.750 0.750 0.750
```

Calculated values
The calculation puts the density of states at the Fermi level at 0.4248 states/eV per atom. Its symmetry is No. 225. The value obtained for the electronic total energy is -22.10 eV for the cell shown.

| no. | size of the total moment (μB/cell) | ρ (Mg/m³) |
| --- | --- | --- |
| 1 | 0.001 | 4.4 |
| 2 | 0.000 | 6.7 |
| 3 | 1.332 | 4.6 |
| 4 | 1.876 | 2.9 |
| 5 | 0.236 | 8.3 |
| 6 | 0.000 | 10.5 |
| 7 | 0.000 | 14.7 |
| 8 | 1.135 | 3.9 |
| 9 | 0.025 | 3.5 |
| 10 | 1.730 | 7.9 |
| 11 | 0.206 | 10.6 |
| 12 | 0.000 | 10.0 |